# 1
First-principles (GGA-PBE) data for a relaxed LaAlCrSn2 crystal, as listed in Alexandria.

Cell: 5.9449 5.9449 5.7108 Å, 90.00 90.00 90.00°
Atoms (fractional coordinates):
La 0.0000 0.0000 0.0000
Al 0.0000 0.0000 0.5000
Cr 0.5000 0.5000 0.5000
Sn 0.0000 0.5000 0.0000
Sn 0.5000 0.0000 0.0000

Calculated values
size of the total moment = 4.55 μB/f.u.
density of states at the Fermi level = 4.2 states/eV per cell
offset from the most stable computed form = 5.324 eV/f.u.
ΔE_f = 1.226 eV per atom

***

# 2
First-principles (GGA-PBE) data for a relaxed PIrF crystal, as listed in Alexandria.

Cell: 2.7112 6.3252 6.3252 Å, 26.28 90.00 90.00°
Atoms (fractional coordinates):
P 0.0000 0.0000 0.0000
Ir 0.0000 0.6412 0.6412
F 0.0000 0.2767 0.2767

Calculated values
size of the total moment = 0.00 μB/f.u.
density of states at the Fermi level = 2.4 states/eV per cell
offset from the most stable computed form = 1.707 eV/f.u.
uncorrected formation energy = -9.96 kcal/mol of atoms

***

# 3
First-principles (GGA-PBE) data for a relaxed CaScAs crystal, as listed in Alexandria.

Cell: 4.4855 4.4855 4.5801 Å, 90.00 90.00 120.00°
Atoms (fractional coordinates):
Ca 0.0000 0.0000 0.0000
Sc 0.6667 0.3333 0.5027
As 0.3333 0.6667 0.5996

Calculated values
size of the total moment = 0.00 μB/f.u.
density of states at the Fermi level = 1.4 states/eV per cell
ΔE_f = -0.679 eV per atom